1.
Here is a crystal of CaMn7O12 relaxed with PBEsol from Alexandria via LeMat-Bulk. Energies are from meta-GGA SCAN.

Cell: 7.321 7.321 7.321 Å, 90.00 90.00 90.00°
Space group Im-3 (No. 204)
Asymmetric unit:
Ca: 0.000 0.000 0.000 x2
Mn: 0.000 0.000 0.500 x6
Mn: 0.250 0.250 0.250 x8
O: 0.000 0.308 0.179 x24

Summary:
The value obtained for the volume is 9.81 Å³ per atom. The uncorrected formation energy comes out at -2.32 eV/atom. The density of states at the Fermi level comes out at 2.93 states/eV/f.u.

=====

2.
Here is a crystal of Rb2AgBiN relaxed with PBEsol from Alexandria via LeMat-Bulk. Energies are from meta-GGA SCAN.

Cell: 6.672 6.672 5.131 Å, 90.00 90.00 90.00°
Space group P4/mmm (No. 123)
Asymmetric unit:
Rb: 0.000 0.500 0.000 x2
Ag: 0.000 0.000 0.000 x1
Bi: 0.000 0.000 0.500 x1
N: 0.500 0.500 0.500 x1

Summary:
The value obtained for the volume is 45.69 Å³ per atom. The uncorrected formation energy comes out at 0.74 eV/atom. The density of states at the Fermi level comes out at 3.01 states/eV/f.u.

=====

3.
Here is a crystal of GdH9C5N2O8 relaxed with PBEsol from Alexandria via LeMat-Bulk. Energies are from meta-GGA SCAN.

Cell: 11.386 7.173 6.529 Å, 90.00 110.24 90.00°
Space group C2 (No. 5)
Asymmetric unit:
Gd: 0.000 0.000 0.000 x2
H: 0.000 0.923 0.500 x2
H: 0.008 0.549 0.171 x4
H: 0.115 0.381 0.463 x4
H: 0.186 0.354 0.888 x4
H: 0.215 0.572 0.603 x4
C: 0.000 0.077 0.500 x2
C: 0.087 0.621 0.297 x4
C: 0.242 0.290 0.048 x4
N: 0.146 0.517 0.467 x4
O: 0.006 0.160 0.332 x4
O: 0.114 0.787 0.271 x4
O: 0.144 0.833 0.866 x4
O: 0.185 0.177 0.130 x4

Summary:
The value obtained for the volume is 10.01 Å³ per atom. The total energy comes out at -0.6922 Ry/atom. The density of states at the Fermi level comes out at 0.00 states/eV/f.u.

=====

4.
Here is a crystal of K2AuC2 relaxed with PBEsol from Alexandria via LeMat-Bulk. Energies are from meta-GGA SCAN.

Cell: 5.720 5.720 6.455 Å, 90.00 90.00 90.00°
Space group I4/mmm (No. 139)
Asymmetric unit:
K: 0.000 0.500 0.250 x4
Au: 0.000 0.000 0.000 x2
C: 0.000 0.000 0.401 x4

Summary:
The value obtained for the volume is 21.12 Å³ per atom. The density of states at the Fermi level comes out at 0.80 states/eV/f.u. Its formation energy is 2.28 eV/f.u.

=====

5.
Here is a crystal of Co2Pt relaxed with PBEsol from Alexandria via LeMat-Bulk. Energies are from meta-GGA SCAN.

Cell: 6.603 6.603 6.603 Å, 90.00 90.00 90.00°
Space group Fd-3m (No. 227, origin choice 2)
Asymmetric unit:
Co: 0.000 0.000 0.000 x16
Pt: 0.125 0.125 0.625 x8

Summary:
The value obtained for the volume is 12.00 Å³ per atom. The density of states at the Fermi level comes out at 2.44 states/eV/f.u. Its formation energy is -0.19 eV/f.u.

=====

6.
Here is a crystal of Cd2TeN relaxed with PBEsol from Alexandria via LeMat-Bulk. Energies are from meta-GGA SCAN.

Cell: 5.905 5.905 10.619 Å, 90.00 90.00 90.00°
Space group I-42d (No. 122)
Asymmetric unit:
Cd: 0.141 0.250 0.125 x8
Te: 0.000 0.000 0.500 x4
N: 0.000 0.000 0.000 x4

Summary:
The value obtained for the volume is 23.14 Å³ per atom. The uncorrected formation energy comes out at 0.28 eV/atom. The density of states at the Fermi level comes out at 3.27 states/eV/f.u.

=====

7.
Here is a crystal of Sc2SnS relaxed with PBEsol from Alexandria via LeMat-Bulk. Energies are from meta-GGA SCAN.

Cell: 6.845 6.845 6.845 Å, 90.00 90.00 90.00°
Space group Fm-3m (No. 225)
Asymmetric unit:
Sc: 0.250 0.250 0.250 x8
Sn: 0.000 0.000 0.000 x4
S: 0.000 0.000 0.500 x4

Summary:
The value obtained for the volume is 20.04 Å³ per atom. The uncorrected formation energy comes out at -0.79 eV/atom. The density of states at the Fermi level comes out at 1.99 states/eV/f.u.

=====

8.
Here is a crystal of Li2LaSc relaxed with PBEsol from Alexandria via LeMat-Bulk. Energies are from meta-GGA SCAN.

Cell: 3.217 5.371 5.821 Å, 90.00 96.54 90.00°
Space group P2/m (No. 10)
Asymmetric unit:
Li: 0.243 0.000 0.278 x2
La: 0.500 0.500 0.000 x1
Sc: 0.000 0.500 0.500 x1

Summary:
The value obtained for the volume is 24.98 Å³ per atom. The value obtained for the polymorph energy (0 for the lowest one) is 39.9 kJ/mol of formula units. The density of states at the Fermi level comes out at 3.81 states/eV/f.u. Its formation energy is 0.79 eV/f.u.

=====

9.
Here is a crystal of TlCo2Si relaxed with PBEsol from Alexandria via LeMat-Bulk. Energies are from meta-GGA SCAN.

Cell: 6.734 2.809 6.436 Å, 90.00 100.60 90.00°
Space group Cm (No. 8)
Asymmetric unit:
Tl: 0.000 0.000 0.000 x2
Co: 0.177 0.500 0.332 x2
Co: 0.321 0.000 0.669 x2
Si: 0.499 0.500 0.500 x2

Summary:
The value obtained for the volume is 14.96 Å³ per atom. The uncorrected formation energy comes out at 0.26 eV/atom. The value obtained for the polymorph energy (0 for the lowest one) is 37.9 kJ/mol of formula units. The density of states at the Fermi level comes out at 2.36 states/eV/f.u.

=====

10.
Here is a crystal of KNb3Te relaxed with PBEsol from Alexandria via LeMat-Bulk. Energies are from meta-GGA SCAN.

Cell: 4.681 4.681 4.681 Å, 90.00 90.00 90.00°
Space group Pm-3m (No. 221)
Asymmetric unit:
K: 0.000 0.000 0.000 x1
Nb: 0.000 0.000 0.500 x3
Te: 0.500 0.500 0.500 x1

Summary:
The value obtained for the volume is 20.51 Å³ per atom. The uncorrected formation energy comes out at 2.53 eV/atom. The density of states at the Fermi level comes out at 5.51 states/eV/f.u.

=====

11.
Here is a crystal of TePbI3 relaxed with PBEsol from Alexandria via LeMat-Bulk. Energies are from meta-GGA SCAN.

Cell: 6.095 6.095 6.095 Å, 90.00 90.00 90.00°
Space group Pm-3m (No. 221)
Asymmetric unit:
Te: 0.000 0.000 0.000 x1
Pb: 0.500 0.500 0.500 x1
I: 0.000 0.500 0.500 x3

Summary:
The value obtained for the volume is 45.29 Å³ per atom. The uncorrected formation energy comes out at 0.11 eV/atom. The density of states at the Fermi level comes out at 2.03 states/eV/f.u.

=====

12.
Here is a crystal of CuTc2Ni relaxed with PBEsol from Alexandria via LeMat-Bulk. Energies are from meta-GGA SCAN.

Cell: 2.529 4.269 4.580 Å, 90.00 90.00 90.00°
Space group Pmm2 (No. 25)
Asymmetric unit:
Cu: 0.000 0.000 0.000 x1
Tc: 0.500 0.000 0.507 x1
Tc: 0.500 0.500 0.199 x1
Ni: 0.000 0.500 0.708 x1

Summary:
The value obtained for the volume is 12.36 Å³ per atom. The value obtained for the polymorph energy (0 for the lowest one) is 0.0 kJ/mol of formula units. The density of states at the Fermi level comes out at 3.72 states/eV/f.u. Its formation energy is 0.40 eV/f.u.

=====

13.
Here is a crystal of CsC3 relaxed with PBEsol from Alexandria via LeMat-Bulk. Energies are from meta-GGA SCAN.

Cell: 4.291 6.758 7.535 Å, 90.00 90.00 90.00°
Space group Immm (No. 71)
Asymmetric unit:
Cs: 0.000 0.000 0.000 x2
C: 0.000 0.500 0.000 x2
C: 0.000 0.500 0.173 x4

Summary:
The value obtained for the volume is 27.32 Å³ per atom. The value obtained for the polymorph energy (0 for the lowest one) is 142.9 kJ/mol of formula units. The density of states at the Fermi level comes out at 0.60 states/eV/f.u. Its formation energy is 5.08 eV/f.u.

=====

14.
Here is a crystal of MgBeRu2 relaxed with PBEsol from Alexandria via LeMat-Bulk. Energies are from meta-GGA SCAN.

Cell: 2.825 4.392 8.349 Å, 90.00 90.00 90.00°
Space group Immm (No. 71)
Asymmetric unit:
Mg: 0.000 0.000 0.000 x2
Be: 0.000 0.000 0.500 x2
Ru: 0.000 0.500 0.214 x4

Summary:
The value obtained for the volume is 12.95 Å³ per atom. The density of states at the Fermi level comes out at 3.31 states/eV/f.u. Its formation energy is -0.16 eV/f.u.

=====

15.
Here is a crystal of InNi2W relaxed with PBEsol from Alexandria via LeMat-Bulk. Energies are from meta-GGA SCAN.

Cell: 2.733 4.450 9.146 Å, 90.00 90.00 90.00°
Space group Imm2 (No. 44)
Asymmetric unit:
In: 0.000 0.000 0.000 x2
Ni: 0.000 0.000 0.479 x2
Ni: 0.000 0.500 0.753 x2
W: 0.000 0.500 0.221 x2

Summary:
The value obtained for the volume is 13.91 Å³ per atom. The density of states at the Fermi level comes out at 2.72 states/eV/f.u. Its formation energy is 1.13 eV/f.u.

=====

16.
Here is a crystal of TlAsP relaxed with PBEsol from Alexandria via LeMat-Bulk. Energies are from meta-GGA SCAN.

Cell: 6.523 6.523 6.523 Å, 90.00 90.00 90.00°
Space group F-43m (No. 216)
Asymmetric unit:
Tl: 0.000 0.000 0.000 x4
As: 0.000 0.000 0.500 x4
P: 0.250 0.250 0.750 x4

Summary:
The value obtained for the volume is 23.13 Å³ per atom. The value obtained for the polymorph energy (0 for the lowest one) is 154.0 kJ/mol of formula units. The density of states at the Fermi level comes out at 1.88 states/eV/f.u. Its formation energy is 1.80 eV/f.u.

=====

17.
Here is a crystal of SrBe3Au relaxed with PBEsol from Alexandria via LeMat-Bulk. Energies are from meta-GGA SCAN.

Cell: 4.447 4.447 4.447 Å, 90.00 90.00 90.00°
Space group Pm-3m (No. 221)
Asymmetric unit:
Sr: 0.000 0.000 0.000 x1
Be: 0.000 0.500 0.500 x3
Au: 0.500 0.500 0.500 x1

Summary:
The value obtained for the volume is 17.59 Å³ per atom. The density of states at the Fermi level comes out at 1.63 states/eV/f.u. Its formation energy is -0.14 eV/f.u.

=====

18.
Here is a crystal of LiHgAu2 relaxed with PBEsol from Alexandria via LeMat-Bulk. Energies are from meta-GGA SCAN.

Cell: 9.601 3.024 4.821 Å, 90.00 102.56 90.00°
Space group C2/m (No. 12)
Asymmetric unit:
Li: 0.000 0.000 0.000 x2
Hg: 0.000 0.500 0.500 x2
Au: 0.241 0.500 0.239 x4

Summary:
The value obtained for the volume is 17.08 Å³ per atom. The density of states at the Fermi level comes out at 1.13 states/eV/f.u. Its formation energy is -1.09 eV/f.u.

=====

19.
Here is a crystal of Sr2SnSe3F2 relaxed with PBEsol from Alexandria via LeMat-Bulk. Energies are from meta-GGA SCAN.

Cell: 6.080 19.360 6.050 Å, 90.00 90.00 90.00°
Space group Pnma (No. 62)
Asymmetric unit:
Sr: 0.245 0.070 0.005 x8
Sn: 0.142 0.750 0.920 x4
Se: 0.227 0.750 0.500 x4
Se: 0.240 0.130 0.512 x8
F: 0.001 0.001 0.746 x8

Summary:
The value obtained for the volume is 22.25 Å³ per atom. The uncorrected formation energy comes out at -2.30 eV/atom. The density of states at the Fermi level comes out at 0.00 states/eV/f.u.

=====

20.
Here is a crystal of Li2CoCI relaxed with PBEsol from Alexandria via LeMat-Bulk. Energies are from meta-GGA SCAN.

Cell: 5.058 5.058 4.283 Å, 90.00 90.00 90.00°
Space group P4/mmm (No. 123)
Asymmetric unit:
Li: 0.000 0.500 0.000 x2
Co: 0.000 0.000 0.500 x1
C: 0.500 0.500 0.500 x1
I: 0.500 0.500 0.000 x1

Summary:
The value obtained for the volume is 21.91 Å³ per atom. The uncorrected formation energy comes out at 1.51 eV/atom. The density of states at the Fermi level comes out at 3.83 states/eV/f.u.